Entry from Alexandria: a relaxed Ba6TeRh2I3 crystal (GGA-PBE).

a b c (Å): 4.719 10.260 11.138
angles (deg): 106.84 102.23 90.00
Positions (direct):
Ba1 0.680 0.558 0.360
Ba2 0.024 0.253 0.048
Ba3 0.668 0.130 0.336
Ba4 0.320 0.442 0.640
Ba5 0.976 0.747 0.952
Ba6 0.332 0.870 0.664
Te1 0.500 0.000 0.000
I1 0.500 0.500 0.000
I2 0.840 0.165 0.679
I3 0.160 0.835 0.321
Rh1 0.833 0.664 0.667
Rh2 0.167 0.336 0.333

For the total energy, the calculation gives -3.92 eV/atom. For the uncorrected formation energy, the calculation gives -1.08 eV per atom. As for the crystal system: monoclinic. The space-group type is C2/m (12). The magnetic moment is 0.0 μB/f.u.


Entry from Alexandria: a relaxed Ba2TiRhI crystal (GGA-PBE).

a b c (Å): 6.362 4.689 6.362
angles (deg): 90.00 90.00 90.00
Positions (direct):
I1 0.500 0.500 0.500
Ba1 0.500 0.000 0.000
Ba2 0.000 0.000 0.500
Rh1 0.000 0.000 0.000
Ti1 0.000 0.500 0.000

For the total energy, the calculation gives -4.47 eV/atom. For the uncorrected formation energy, the calculation gives -0.35 eV per atom. As for the crystal system: tetragonal. The space-group type is P4/mmm (123). The magnetic moment is 2.1 μB/f.u.


Entry from Alexandria: a relaxed BaTl2RhI crystal (GGA-PBE).

a b c (Å): 5.326 5.326 6.075
angles (deg): 90.00 90.00 90.00
Positions (direct):
I1 0.500 0.500 0.500
Rh1 0.000 0.000 0.000
Tl1 0.500 0.000 0.000
Tl2 0.000 0.500 0.000
Ba1 0.000 0.000 0.500

For the total energy, the calculation gives -3.71 eV/atom. For the uncorrected formation energy, the calculation gives -0.60 eV per atom. As for the crystal system: tetragonal. The space-group type is P4/mmm (123). The magnetic moment is 0.0 μB/f.u.


Entry from Alexandria: a relaxed Ba2ZnRhI crystal (GGA-PBE).

a b c (Å): 6.055 6.055 4.880
angles (deg): 90.00 90.00 90.00
Positions (direct):
Zn1 0.000 0.000 0.500
Ba1 0.500 0.000 0.000
Ba2 0.000 0.500 0.000
Rh1 0.000 0.000 0.000
I1 0.500 0.500 0.500

For the total energy, the calculation gives -3.47 eV/atom. For the uncorrected formation energy, the calculation gives -0.67 eV per atom. As for the crystal system: tetragonal. The space-group type is P4/mmm (123). The magnetic moment is 0.0 μB/f.u.


Entry from Alexandria: a relaxed BaRuI2 crystal (GGA-PBE).

a b c (Å): 6.222 6.222 9.071
angles (deg): 69.94 69.94 90.00
Positions (direct):
I1 0.375 0.478 0.750
I2 0.875 0.772 0.750
I3 0.522 0.125 0.250
I4 0.228 0.625 0.250
Ru1 0.250 0.750 0.500
Ru2 0.500 0.500 0.000
Ba1 0.000 0.000 0.000
Ba2 0.750 0.250 0.500

For the total energy, the calculation gives -3.71 eV/atom. For the uncorrected formation energy, the calculation gives -0.14 eV per atom. As for the crystal system: tetragonal. The space-group type is I-42d (122). The magnetic moment is 0.0 μB/f.u.


Entry from Alexandria: a relaxed Ba5RuI4 crystal (GGA-PBE).

a b c (Å): 7.075 8.667 8.667
angles (deg): 80.41 65.91 65.91
Positions (direct):
I1 0.815 0.779 0.593
I2 0.187 0.221 0.407
I3 0.594 0.593 0.221
I4 0.408 0.407 0.779
Ba1 0.911 0.336 0.844
Ba2 0.247 0.844 0.664
Ba3 0.755 0.156 0.336
Ba4 0.501 0.000 0.000
Ba5 0.091 0.664 0.156
Ru1 0.001 0.000 0.000

For the total energy, the calculation gives -3.50 eV/atom. For the uncorrected formation energy, the calculation gives -0.99 eV per atom. As for the crystal system: tetragonal. The space-group type is I4/m (87). The magnetic moment is 0.0 μB/f.u.


Entry from Alexandria: a relaxed BaRu2I crystal (GGA-PBE).

a b c (Å): 7.855 7.855 6.518
angles (deg): 52.95 52.95 90.00
Positions (direct):
Ru1 0.211 0.625 0.250
Ru2 0.875 0.789 0.750
Ru3 0.539 0.125 0.250
Ru4 0.375 0.461 0.750
Ba1 0.750 0.250 0.500
Ba2 0.000 0.000 0.000
I1 0.250 0.750 0.500
I2 0.500 0.500 0.000

For the total energy, the calculation gives -4.62 eV/atom. For the uncorrected formation energy, the calculation gives 0.88 eV per atom. As for the crystal system: tetragonal. The space-group type is I-42d (122). The magnetic moment is 0.0 μB/f.u.


Entry from Alexandria: a relaxed BaRuI3 crystal (GGA-PBE).

a b c (Å): 5.496 5.496 5.496
angles (deg): 90.00 90.00 90.00
Positions (direct):
I1 0.000 0.000 0.500
I2 0.000 0.500 0.000
I3 0.500 0.000 0.000
Ru1 0.000 0.000 0.000
Ba1 0.500 0.500 0.500

For the total energy, the calculation gives -3.72 eV/atom. For the uncorrected formation energy, the calculation gives -0.55 eV per atom. As for the crystal system: cubic. The space-group type is Pm-3m (221). The magnetic moment is 0.0 μB/f.u.


Entry from Alexandria: a relaxed BaRuI2 crystal (GGA-PBE).

a b c (Å): 5.625 5.625 5.625
angles (deg): 60.00 60.00 60.00
Positions (direct):
I1 0.250 0.250 0.250
I2 0.750 0.750 0.750
Ba1 0.500 0.500 0.500
Ru1 0.000 0.000 0.000

For the total energy, the calculation gives -3.61 eV/atom. For the uncorrected formation energy, the calculation gives -0.04 eV per atom. As for the crystal system: cubic. The space-group type is Fm-3m (225). The magnetic moment is 2.0 μB/f.u.


Entry from Alexandria: a relaxed BaRu2I crystal (GGA-PBE).

a b c (Å): 4.965 4.965 4.965
angles (deg): 60.00 60.00 60.00
Positions (direct):
Ba1 0.500 0.500 0.500
Ru1 0.250 0.250 0.250
Ru2 0.750 0.750 0.750
I1 0.000 0.000 0.000

For the total energy, the calculation gives -4.53 eV/atom. For the uncorrected formation energy, the calculation gives 0.98 eV per atom. As for the crystal system: cubic. The space-group type is Fm-3m (225). The magnetic moment is 0.9 μB/f.u.


Entry from Alexandria: a relaxed BaRuI3 crystal (GGA-PBE).

a b c (Å): 6.685 6.685 6.685
angles (deg): 90.00 90.00 90.00
Positions (direct):
I1 0.000 0.000 0.500
I2 0.500 0.000 0.000
I3 0.000 0.500 0.000
Ru1 0.500 0.500 0.500
Ba1 0.000 0.000 0.000

For the total energy, the calculation gives -2.87 eV/atom. For the uncorrected formation energy, the calculation gives 0.30 eV per atom. As for the crystal system: cubic. The space-group type is Pm-3m (221). The magnetic moment is 3.0 μB/f.u.


Entry from Alexandria: a relaxed BaRuSeI2 crystal (GGA-PBE).

a b c (Å): 5.807 6.257 5.807
angles (deg): 90.00 90.00 90.00
Positions (direct):
Ru1 0.500 0.500 0.500
I1 0.500 0.000 0.000
I2 0.000 0.000 0.500
Se1 0.000 0.000 0.000
Ba1 0.000 0.500 0.000

For the total energy, the calculation gives -3.03 eV/atom. For the uncorrected formation energy, the calculation gives 0.53 eV per atom. As for the crystal system: tetragonal. The space-group type is P4/mmm (123). The magnetic moment is 3.5 μB/f.u.


Entry from Alexandria: a relaxed BaTe2RuI crystal (GGA-PBE).

a b c (Å): 5.337 5.337 5.679
angles (deg): 90.00 90.00 90.00
Positions (direct):
I1 0.000 0.000 0.500
Ru1 0.000 0.000 0.000
Te1 0.000 0.500 0.000
Te2 0.500 0.000 0.000
Ba1 0.500 0.500 0.500

For the total energy, the calculation gives -4.28 eV/atom. For the uncorrected formation energy, the calculation gives -0.47 eV per atom. As for the crystal system: tetragonal. The space-group type is P4/mmm (123). The magnetic moment is 1.5 μB/f.u.